## Sr2MgCr (PBE)

Data for crystalline Sr2MgCr at its relaxed geometry.

* space-group type: F-43m
* E_form: 43.2 kJ per mole of atoms

Cell: 5.6477 5.6477 5.6477 Å, 60.00 60.00 60.00°
Fractional coordinates of all 4 atoms:
Sr 0.0000 0.0000 0.0000
Sr 0.2500 0.2500 0.2500
Mg 0.7500 0.7500 0.7500
Cr 0.5000 0.5000 0.5000

***

## Pm3Pr2Tm5 (PBE)

Data for crystalline Pm3Pr2Tm5 at its relaxed geometry.

* space-group type: Ibam
* E_form: 38.2 kJ per mole of atoms
* relative energy among the computed polymorphs: 215.9 meV/atom

Cell: 12.3721 12.3721 12.3721 Å, 134.90 56.28 148.13°
Fractional coordinates of all 20 atoms:
Pm 0.1325 0.7481 0.8806
Pm 0.2500 0.2500 0.0000
Pm 0.3675 0.2481 0.6157
Pm 0.6325 0.7519 0.3843
Pm 0.7500 0.7500 0.0000
Pm 0.8675 0.2519 0.1194
Pr 0.1264 0.1076 0.2340
Pr 0.3736 0.6076 0.9811
Pr 0.6264 0.3924 0.0189
Pr 0.8736 0.8924 0.7660
Tm 0.0021 0.7500 0.2521
Tm 0.1246 0.4183 0.5430
Tm 0.2500 0.7500 0.5000
Tm 0.3754 0.9183 0.2937
Tm 0.4979 0.7500 0.7479
Tm 0.5021 0.2500 0.2521
Tm 0.6246 0.0817 0.7063
Tm 0.7500 0.2500 0.5000
Tm 0.8754 0.5817 0.4570
Tm 0.9979 0.2500 0.7479

***

## MnNb2I (PBE)

Data for crystalline MnNb2I at its relaxed geometry.

* space-group type: Fm-3m
* relative energy among the computed polymorphs: 0.0 meV/atom
* energy relative to the elements, uncorrected: 58 kJ per mole of atoms

Cell: 4.6576 4.6576 4.6576 Å, 60.00 60.00 60.00°
Fractional coordinates of all 4 atoms:
Mn 0.0000 0.0000 0.0000
Nb 0.2500 0.2500 0.2500
Nb 0.7500 0.7500 0.7500
I 0.5000 0.5000 0.5000

***

## LiCePrMn (PBE)

Data for crystalline LiCePrMn at its relaxed geometry.

* space-group type: F-43m
* E_form: 21.9 kJ per mole of atoms

Cell: 5.1280 5.1280 5.1280 Å, 60.00 60.00 60.00°
Fractional coordinates of all 4 atoms:
Li 0.0000 0.0000 0.0000
Ce 0.7500 0.7500 0.7500
Pr 0.2500 0.2500 0.2500
Mn 0.5000 0.5000 0.5000

***

## BaCdPd (PBE)

Data for crystalline BaCdPd at its relaxed geometry.

* space-group type: F-43m
* E_form: -36.6 kJ per mole of atoms

Cell: 5.1387 5.1387 5.1387 Å, 60.00 60.00 60.00°
Fractional coordinates of all 3 atoms:
Ba 0.0000 0.0000 0.0000
Cd 0.5000 0.5000 0.5000
Pd 0.2500 0.2500 0.2500

***

## Tb3Si2NiPt9 (PBE)

Data for crystalline Tb3Si2NiPt9 at its relaxed geometry.

* space-group type: P-3m1
* energy relative to the elements, uncorrected: -65 kJ per mole of atoms

Cell: 6.3628 6.3628 8.7611 Å, 90.00 90.00 120.00°
Fractional coordinates of all 15 atoms:
Tb 0.0000 0.0000 0.0000
Tb 0.3333 0.6667 0.7148
Tb 0.6667 0.3333 0.2852
Si 0.3333 0.6667 0.1872
Si 0.6667 0.3333 0.8128
Ni 0.0000 0.0000 0.5000
Pt 0.0000 0.5000 0.0000
Pt 0.1416 0.2832 0.2770
Pt 0.1416 0.8584 0.2770
Pt 0.2832 0.1416 0.7230
Pt 0.5000 0.0000 0.0000
Pt 0.5000 0.5000 0.0000
Pt 0.7168 0.8584 0.2770
Pt 0.8584 0.1416 0.7230
Pt 0.8584 0.7168 0.7230